<A>
Density functional theory data (PBE) for a geometry-optimized ReGeRh3 structure.

Cell and atoms, written as CIF:
```
data_ReGeRh3
_symmetry_space_group_name_H-M 'P m -3 m'
_symmetry_Int_Tables_number 221
_symmetry_space_group_name_Hall '-P 4 2 3'
_cell_length_a 4.475
_cell_length_b 4.475
_cell_length_c 4.475
_cell_angle_alpha 90.00
_cell_angle_beta 90.00
_cell_angle_gamma 90.00
loop_
_atom_site_label
_atom_site_fract_x
_atom_site_fract_y
_atom_site_fract_z
Re1 0.000 0.000 0.000
Ge1 0.500 0.500 0.500
Rh1 0.000 0.500 0.500
```

Values from the calculation:
Mass density (kg/m3): 10515
Size of the total moment (μB per atom): 0.800



<B>
Density functional theory data (PBE) for a geometry-optimized ReGeRh3 structure.

Cell and atoms, written as CIF:
```
data_ReGeRh3
_symmetry_space_group_name_H-M 'P m -3 m'
_symmetry_Int_Tables_number 221
_symmetry_space_group_name_Hall '-P 4 2 3'
_cell_length_a 4.713
_cell_length_b 4.713
_cell_length_c 4.713
_cell_angle_alpha 90.00
_cell_angle_beta 90.00
_cell_angle_gamma 90.00
loop_
_atom_site_label
_atom_site_fract_x
_atom_site_fract_y
_atom_site_fract_z
Re1 0.000 0.000 0.000
Ge1 0.500 0.500 0.500
Rh1 0.000 0.000 0.500
```

Values from the calculation:
Mass density (kg/m3): 9003
Size of the total moment (μB per atom): 0.000



Q: Which of them is the least stable? A: <B>.



<A>
Density functional theory data (PBE) for a geometry-optimized ReGe2Rh structure.

Cell and atoms, written as CIF:
```
data_ReGe2Rh
_symmetry_space_group_name_H-M 'P 4/m m m'
_symmetry_Int_Tables_number 123
_symmetry_space_group_name_Hall '-P 4 2'
_cell_length_a 4.302
_cell_length_b 4.302
_cell_length_c 3.131
_cell_angle_alpha 90.00
_cell_angle_beta 90.00
_cell_angle_gamma 90.00
loop_
_atom_site_label
_atom_site_fract_x
_atom_site_fract_y
_atom_site_fract_z
Re1 0.000 0.000 0.000
Ge1 0.000 0.500 0.500
Rh1 0.500 0.500 0.000
```

Values from the calculation:
Mass density (kg/m3): 12450
Size of the total moment (μB per atom): 0.000



<B>
Density functional theory data (PBE) for a geometry-optimized ReGe2Rh structure.

Cell and atoms, written as CIF:
```
data_ReGe2Rh
_symmetry_space_group_name_H-M 'I -4 2 d'
_symmetry_Int_Tables_number 122
_symmetry_space_group_name_Hall 'I -4 2bw'
_cell_length_a 5.577
_cell_length_b 5.577
_cell_length_c 11.033
_cell_angle_alpha 90.00
_cell_angle_beta 90.00
_cell_angle_gamma 90.00
loop_
_atom_site_label
_atom_site_fract_x
_atom_site_fract_y
_atom_site_fract_z
Re1 0.000 0.000 0.000
Ge1 0.248 0.250 0.625
Rh1 0.000 0.000 0.500
```

Values from the calculation:
Mass density (kg/m3): 8407
Size of the total moment (μB per atom): 0.000



<C>
Density functional theory data (PBE) for a geometry-optimized ReGe2Rh structure.

Cell and atoms, written as CIF:
```
data_ReGe2Rh
_symmetry_space_group_name_H-M 'R -3 m'
_symmetry_Int_Tables_number 166
_symmetry_space_group_name_Hall '-R 3 2"'
_cell_length_a 2.9157
_cell_length_b 2.9157
_cell_length_c 26.4100
_cell_angle_alpha 90.00
_cell_angle_beta 90.00
_cell_angle_gamma 120.00
loop_
_atom_site_label
_atom_site_fract_x
_atom_site_fract_y
_atom_site_fract_z
Re1 0.0000 0.0000 0.0000
Ge1 0.0000 0.0000 0.4095
Rh1 0.0000 0.0000 0.5000
```

Values from the calculation:
Mass density (kg/m3): 11129
Size of the total moment (μB per atom): 0.000



<D>
Density functional theory data (PBE) for a geometry-optimized ReGe2Rh structure.

Cell and atoms, written as CIF:
```
data_ReGe2Rh
_symmetry_space_group_name_H-M 'F m -3 m'
_symmetry_Int_Tables_number 225
_symmetry_space_group_name_Hall '-F 4 2 3'
_cell_length_a 6.148
_cell_length_b 6.148
_cell_length_c 6.148
_cell_angle_alpha 90.00
_cell_angle_beta 90.00
_cell_angle_gamma 90.00
loop_
_atom_site_label
_atom_site_fract_x
_atom_site_fract_y
_atom_site_fract_z
Re1 0.000 0.000 0.000
Ge1 0.250 0.250 0.250
Rh1 0.000 0.000 0.500
```

Values from the calculation:
Mass density (kg/m3): 12415
Size of the total moment (μB per atom): 0.000



Q: Which of them is the least stable? A: <B>.



<A>
Density functional theory data (PBE) for a geometry-optimized Re2GeS structure.

Cell and atoms, written as CIF:
```
data_Re2GeS
_symmetry_space_group_name_H-M 'I -4 2 d'
_symmetry_Int_Tables_number 122
_symmetry_space_group_name_Hall 'I -4 2bw'
_cell_length_a 5.558
_cell_length_b 5.558
_cell_length_c 10.232
_cell_angle_alpha 90.00
_cell_angle_beta 90.00
_cell_angle_gamma 90.00
loop_
_atom_site_label
_atom_site_fract_x
_atom_site_fract_y
_atom_site_fract_z
Re1 0.218 0.250 0.125
Ge1 0.000 0.000 0.500
S1 0.000 0.000 0.000
```

Values from the calculation:
Mass density (kg/m3): 10027
Size of the total moment (μB per atom): 0.000



<B>
Density functional theory data (PBE) for a geometry-optimized Re2GeS structure.

Cell and atoms, written as CIF:
```
data_Re2GeS
_symmetry_space_group_name_H-M 'F m -3 m'
_symmetry_Int_Tables_number 225
_symmetry_space_group_name_Hall '-F 4 2 3'
_cell_length_a 6.077
_cell_length_b 6.077
_cell_length_c 6.077
_cell_angle_alpha 90.00
_cell_angle_beta 90.00
_cell_angle_gamma 90.00
loop_
_atom_site_label
_atom_site_fract_x
_atom_site_fract_y
_atom_site_fract_z
Re1 0.250 0.250 0.250
Ge1 0.000 0.000 0.000
S1 0.000 0.000 0.500
```

Values from the calculation:
Mass density (kg/m3): 14118
Size of the total moment (μB per atom): 0.000



Q: Which of them is the least stable? A: <A>.



<A>
Density functional theory data (PBE) for a geometry-optimized Re2GeSb structure.

Cell and atoms, written as CIF:
```
data_Re2GeSb
_symmetry_space_group_name_H-M 'I -4 2 d'
_symmetry_Int_Tables_number 122
_symmetry_space_group_name_Hall 'I -4 2bw'
_cell_length_a 4.164
_cell_length_b 4.164
_cell_length_c 17.785
_cell_angle_alpha 90.00
_cell_angle_beta 90.00
_cell_angle_gamma 90.00
loop_
_atom_site_label
_atom_site_fract_x
_atom_site_fract_y
_atom_site_fract_z
Re1 0.175 0.250 0.125
Ge1 0.000 0.000 0.000
Sb1 0.000 0.000 0.500
```

Values from the calculation:
Mass density (kg/m3): 12211
Size of the total moment (μB per atom): 0.000



<B>
Density functional theory data (PBE) for a geometry-optimized Re2GeSb structure.

Cell and atoms, written as CIF:
```
data_Re2GeSb
_symmetry_space_group_name_H-M 'F m -3 m'
_symmetry_Int_Tables_number 225
_symmetry_space_group_name_Hall '-F 4 2 3'
_cell_length_a 6.368
_cell_length_b 6.368
_cell_length_c 6.368
_cell_angle_alpha 90.00
_cell_angle_beta 90.00
_cell_angle_gamma 90.00
loop_
_atom_site_label
_atom_site_fract_x
_atom_site_fract_y
_atom_site_fract_z
Re1 0.250 0.250 0.250
Ge1 0.000 0.000 0.000
Sb1 0.000 0.000 0.500
```

Values from the calculation:
Mass density (kg/m3): 14582
Size of the total moment (μB per atom): 0.000



Q: Which of them is the least stable? A: <A>.



<A>
Density functional theory data (PBE) for a geometry-optimized Re3GeSb structure.

Cell and atoms, written as CIF:
```
data_Re3GeSb
_symmetry_space_group_name_H-M 'P m -3 m'
_symmetry_Int_Tables_number 221
_symmetry_space_group_name_Hall '-P 4 2 3'
_cell_length_a 4.882
_cell_length_b 4.882
_cell_length_c 4.882
_cell_angle_alpha 90.00
_cell_angle_beta 90.00
_cell_angle_gamma 90.00
loop_
_atom_site_label
_atom_site_fract_x
_atom_site_fract_y
_atom_site_fract_z
Re1 0.000 0.000 0.500
Ge1 0.500 0.500 0.500
Sb1 0.000 0.000 0.000
```

Values from the calculation:
Mass density (kg/m3): 10750
Size of the total moment (μB per atom): 0.618



<B>
Density functional theory data (PBE) for a geometry-optimized Re3GeSb structure.

Cell and atoms, written as CIF:
```
data_Re3GeSb
_symmetry_space_group_name_H-M 'P m -3 m'
_symmetry_Int_Tables_number 221
_symmetry_space_group_name_Hall '-P 4 2 3'
_cell_length_a 4.616
_cell_length_b 4.616
_cell_length_c 4.616
_cell_angle_alpha 90.00
_cell_angle_beta 90.00
_cell_angle_gamma 90.00
loop_
_atom_site_label
_atom_site_fract_x
_atom_site_fract_y
_atom_site_fract_z
Re1 0.000 0.000 0.500
Ge1 0.000 0.000 0.000
Sb1 0.500 0.500 0.500
```

Values from the calculation:
Mass density (kg/m3): 12713
Size of the total moment (μB per atom): 0.511



Q: Which of them is the least stable? A: <A>.



<A>
Density functional theory data (PBE) for a geometry-optimized ReGeSbTe2 structure.

Cell and atoms, written as CIF:
```
data_ReGeSbTe2
_symmetry_space_group_name_H-M 'P 4/m m m'
_symmetry_Int_Tables_number 123
_symmetry_space_group_name_Hall '-P 4 2'
_cell_length_a 5.270
_cell_length_b 5.270
_cell_length_c 5.151
_cell_angle_alpha 90.00
_cell_angle_beta 90.00
_cell_angle_gamma 90.00
loop_
_atom_site_label
_atom_site_fract_x
_atom_site_fract_y
_atom_site_fract_z
Re1 0.000 0.000 0.000
Ge1 0.500 0.500 0.500
Sb1 0.000 0.000 0.500
Te1 0.000 0.500 0.000
```

Values from the calculation:
Mass density (kg/m3): 7381
Size of the total moment (μB per atom): 0.000



<B>
Density functional theory data (PBE) for a geometry-optimized ReGeSbTe2 structure.

Cell and atoms, written as CIF:
```
data_ReGeSbTe2
_symmetry_space_group_name_H-M 'P 4/m m m'
_symmetry_Int_Tables_number 123
_symmetry_space_group_name_Hall '-P 4 2'
_cell_length_a 5.159
_cell_length_b 5.159
_cell_length_c 5.123
_cell_angle_alpha 90.00
_cell_angle_beta 90.00
_cell_angle_gamma 90.00
loop_
_atom_site_label
_atom_site_fract_x
_atom_site_fract_y
_atom_site_fract_z
Re1 0.000 0.000 0.000
Ge1 0.500 0.500 0.500
Sb1 0.500 0.500 0.000
Te1 0.000 0.500 0.500
```

Values from the calculation:
Mass density (kg/m3): 7743
Size of the total moment (μB per atom): 0.006



Q: Which of them is the least stable? A: <B>.